Entry from Alexandria: crystalline CaTe2PPt at its relaxed geometry (PBE).

Cell lengths 5.542, 5.542, 4.438 Å; angles 90.00, 90.00, 90.00 degrees
Element x y z (fractional)
Ca 0.000 0.000 0.000
Te 0.000 0.500 0.500
Te 0.500 0.000 0.500
P 0.500 0.500 0.500
Pt 0.500 0.500 0.000

Values from the calculation:
raw formation energy = -1.51 eV per formula unit
symmetry = No. 123